Density functional theory data (PBE) for a geometry-optimized Dy4Y5Tl4 structure.

abc: 9.047 9.047 9.047
angles: 94.52 94.52 147.41
Fractional coordinates of all 13 atoms:
Dy 0.096 0.604 0.701
Dy 0.396 0.096 0.492
Dy 0.604 0.904 0.508
Dy 0.904 0.396 0.299
Y 0.000 0.000 0.000
Y 0.312 0.398 0.711
Y 0.398 0.688 0.086
Y 0.602 0.312 0.914
Y 0.688 0.602 0.289
Tl 0.103 0.235 0.337
Tl 0.235 0.897 0.132
Tl 0.765 0.103 0.868
Tl 0.897 0.765 0.663

Properties
space group	I4/m, No. 87
DFT formation energy	-0.276	eV per atom